No. 1
Sr2NiSb2 | PBE-GGA | relaxed

Calculated values
* crystal system: monoclinic
* formation energy without anion corrections: -0.748 eV per atom
* space group: C2/m
* density: 5.34 g cm⁻³
* total magnetic moment: 0.000 μB/cell

Cell lengths 6.4766, 6.4766, 11.9165 Å; angles 108.81, 108.81, 39.18 degrees
With the nearest neighbours (Å) after each atom.
Element x y z (fractional)
Sr  0.0843  0.0843  0.3966  6 Sb 3.36-3.54, 2 Ni 3.37, 1 Sr 3.71
Sr  0.3110  0.3110  0.8646  7 Sb 3.38-3.52, 4 Ni 3.48-3.62
Sr  0.6890  0.6890  0.1354  7 Sb 3.38-3.52, 4 Ni 3.48-3.62
Sr  0.9157  0.9157  0.6034  6 Sb 3.36-3.54, 2 Ni 3.37, 1 Sr 3.71
Ni  0.4257  0.4257  0.1879  3 Sb 2.49
Ni  0.5743  0.5743  0.8121  3 Sb 2.49
Sb  0.0483  0.0483  0.9016  2 Ni 2.49
Sb  0.3457  0.3457  0.3540  1 Ni 2.49
Sb  0.6543  0.6543  0.6460  1 Ni 2.49
Sb  0.9517  0.9517  0.0984  2 Ni 2.49

=====

No. 2
Nd2DyEr2Th2 | PBE-GGA | relaxed

Calculated values
* crystal system: monoclinic
* formation energy: 0.916 eV per formula unit
* space group: C2/m
* density: 9.13 g cm⁻³
* total magnetic moment: 0.000 μB/cell

Cell lengths 6.8726, 6.8726, 6.3283 Å; angles 99.61, 99.61, 50.68 degrees
With the nearest neighbours (Å) after each atom.
Element x y z (fractional)
Nd  0.2153  0.2153  0.3316  3 Er 3.41-3.45, 3 Th 3.44-3.66, 1 Dy 3.50, 2 Nd 3.64
Nd  0.7847  0.7847  0.6684  3 Er 3.41-3.45, 3 Th 3.44-3.66, 1 Dy 3.50, 2 Nd 3.64
Dy  0.5000  0.5000  0.5000  4 Er 3.42-3.73, 4 Th 3.44, 2 Nd 3.50
Er  0.3641  0.3641  0.9226  1 Er 3.34, 3 Nd 3.41-3.45, 2 Dy 3.42-3.73, 3 Th 3.53-3.64
Er  0.6359  0.6359  0.0774  1 Er 3.34, 3 Nd 3.41-3.45, 2 Dy 3.42-3.73, 3 Th 3.53-3.64
Th  0.0666  0.0666  0.7757  2 Dy 3.44, 3 Nd 3.44-3.66, 3 Er 3.53-3.64, 2 Th 3.54-3.58
Th  0.9334  0.9334  0.2243  2 Dy 3.44, 3 Nd 3.44-3.66, 3 Er 3.53-3.64, 2 Th 3.54-3.58

=====

No. 3
Th2Ni9Pt | PBE-GGA | relaxed

Calculated values
* crystal system: trigonal
* formation energy: -2.869 eV per formula unit
* space group: R-3m
* density: 11.39 g cm⁻³
* total magnetic moment: 1.790 μB/cell

Cell lengths 8.5455, 8.5455, 8.5455 Å; angles 33.91, 33.91, 33.91 degrees
With the nearest neighbours (Å) after each atom.
Element x y z (fractional)
Th  0.1281  0.1281  0.1281  9 Ni 2.74-3.02
Th  0.8719  0.8719  0.8719  9 Ni 2.74-3.02
Ni  0.0791  0.5817  0.5817  7 Ni 2.41-2.53
Ni  0.3330  0.3330  0.3330  6 Ni 2.41-2.43
Ni  0.4183  0.4183  0.9209  7 Ni 2.41-2.53
Ni  0.4183  0.9209  0.4183  7 Ni 2.41-2.53
Ni  0.5000  0.5000  0.5000  6 Ni 2.53
Ni  0.5816  0.0791  0.5816  7 Ni 2.41-2.53
Ni  0.5816  0.5816  0.0791  7 Ni 2.41-2.53
Ni  0.6670  0.6670  0.6670  6 Ni 2.41-2.43
Ni  0.9209  0.4184  0.4183  7 Ni 2.41-2.53
Pt  0.0000  0.0000  0.0000  18 Ni 2.88-3.16, 2 Th 3.09

=====

No. 4
Rb3Y2ThSe6 | PBE-GGA | relaxed

Calculated values
* crystal system: monoclinic
* formation energy without anion corrections: -1.669 eV per atom
* space group: C2/m
* density: 5.00 g cm⁻³
* total magnetic moment: 0.000 μB/cell

Cell lengths 7.3709, 7.3709, 8.4169 Å; angles 98.39, 98.39, 120.00 degrees
With the nearest neighbours (Å) after each atom.
Element x y z (fractional)
Rb  0.0000  0.0000  0.0000  6 Se 3.43-3.45
Rb  0.3333  0.6667  0.0000  6 Se 3.43-3.45
Rb  0.6667  0.3333  0.0000  6 Se 3.43-3.45
Y  0.1667  0.8333  0.5000  6 Se 2.93
Y  0.8333  0.1667  0.5000  6 Se 2.93
Th  0.5000  0.5000  0.5000  6 Se 2.95
Se  0.0976  0.4335  0.3003  2 Y 2.93, 1 Th 2.95
Se  0.2307  0.2307  0.6997  2 Y 2.93, 1 Th 2.95
Se  0.4335  0.0976  0.3003  2 Y 2.93, 1 Th 2.95
Se  0.5665  0.9024  0.6997  2 Y 2.93, 1 Th 2.95
Se  0.7693  0.7693  0.3003  2 Y 2.93, 1 Th 2.95
Se  0.9024  0.5665  0.6997  2 Y 2.93, 1 Th 2.95

=====

No. 5
AcNdDyMg | PBE-GGA | relaxed

Calculated values
* crystal system: cubic
* energy relative to the lowest polymorph listed for this composition: 139 meV per atom
* formation energy: 0.478 eV per formula unit
* space group: F-43m
* density: 6.88 g cm⁻³
* total magnetic moment: 0.000 μB/cell

Cell lengths 5.7527, 5.7527, 5.7527 Å; angles 60.00, 60.00, 60.00 degrees
With the nearest neighbours (Å) after each atom.
Element x y z (fractional)
Ac  0.0000  0.0000  0.0000  4 Dy 3.52, 4 Nd 3.52
Nd  0.2500  0.2500  0.2500  4 Ac 3.52, 4 Mg 3.52
Dy  0.7500  0.7500  0.7500  4 Ac 3.52, 4 Mg 3.52
Mg  0.5000  0.5000  0.5000  4 Dy 3.52, 4 Nd 3.52

=====

No. 6
TlReAu2 | PBE-GGA | relaxed

Calculated values
* crystal system: tetragonal
* energy relative to the lowest polymorph listed for this composition: 180 meV per atom
* formation energy: 2.804 eV per formula unit
* space group: P4/mmm
* density: 17.75 g cm⁻³
* total magnetic moment: 0.611 μB/cell

Cell lengths 4.1317, 4.1317, 4.3003 Å; angles 90.00, 90.00, 90.00 degrees
With the nearest neighbours (Å) after each atom.
Element x y z (fractional)
Tl  0.0000  0.0000  0.0000  4 Re 2.92, 8 Au 2.98
Re  0.5000  0.5000  0.0000  4 Tl 2.92, 8 Au 2.98
Au  0.0000  0.5000  0.5000  4 Au 2.92, 4 Tl 2.98, 4 Re 2.98
Au  0.5000  0.0000  0.5000  4 Au 2.92, 4 Tl 2.98, 4 Re 2.98

=====

No. 7
Ca3Pd2Au9 | PBE-GGA | relaxed

Calculated values
* crystal system: orthorhombic
* formation energy: -7.112 eV per formula unit
* space group: Immm
* density: 11.91 g cm⁻³
* total magnetic moment: 0.000 μB/cell

Cell lengths 8.4088, 8.4088, 8.4088 Å; angles 148.52, 104.19, 84.38 degrees
With the nearest neighbours (Å) after each atom.
Element x y z (fractional)
Ca  0.0000  0.0000  0.0000  12 Au 3.24-3.29
Ca  0.3011  0.3011  0.0000  2 Pd 3.00, 4 Au 3.20
Ca  0.6989  0.6989  0.0000  2 Pd 3.00, 4 Au 3.20
Pd  0.3371  0.5000  0.8371  8 Au 2.83-2.90, 2 Ca 3.00
Pd  0.6629  0.5000  0.1629  8 Au 2.83-2.90, 2 Ca 3.00
Au  0.0265  0.6567  0.3698  4 Au 2.69-2.90, 1 Pd 2.90
Au  0.1507  0.8755  0.2753  4 Au 2.76-2.90, 2 Pd 2.83
Au  0.2869  0.6567  0.6302  4 Au 2.69-2.90, 1 Pd 2.90
Au  0.3998  0.1245  0.2753  4 Au 2.76-2.90, 2 Pd 2.83
Au  0.5000  0.0000  0.5000  4 Au 2.79, 4 Pd 2.83
Au  0.6002  0.8755  0.7247  4 Au 2.76-2.90, 2 Pd 2.83
Au  0.7131  0.3433  0.3698  4 Au 2.69-2.90, 1 Pd 2.90
Au  0.8493  0.1245  0.7247  4 Au 2.76-2.90, 2 Pd 2.83
Au  0.9735  0.3433  0.6302  4 Au 2.69-2.90, 1 Pd 2.90

=====

No. 8
RbCd2Ag | PBE-GGA | relaxed

Calculated values
* crystal system: tetragonal
* energy relative to the lowest polymorph listed for this composition: 105 meV per atom
* formation energy: 0.177 eV per formula unit
* space group: P4/mmm
* density: 5.99 g cm⁻³
* total magnetic moment: 0.000 μB/cell

Cell lengths 3.6944, 3.6944, 8.4930 Å; angles 90.00, 90.00, 90.00 degrees
With the nearest neighbours (Å) after each atom.
Element x y z (fractional)
Rb  0.0000  0.0000  0.0000  4 Rb 3.69, 8 Cd 3.78
Cd  0.5000  0.5000  0.3218  4 Ag 3.02, 1 Cd 3.03
Cd  0.5000  0.5000  0.6782  4 Ag 3.02, 1 Cd 3.03
Ag  0.0000  0.0000  0.5000  8 Cd 3.02